The following is a DFT calculation (GGA-PBE) of a geometry-optimized IrBr2 structure.

Lattice parameters (Å, degrees): 5.962 5.962 3.939 90.00 90.00 90.00
Space group P4_2/mnm (No. 136)
One atom of each set of equivalent atoms:
Ir  0.000  0.000  0.000 (multiplicity 2)
Br  0.195  0.195  0.500 (multiplicity 4)

ρ: 8351 kg/m3
V: 140.0 Å³/cell
raw total energy: -3.87 eV/atom